The following is a DFT calculation (PBE) of ReIrOs2 after structural relaxation.

Distance to the lowest polymorph of the same formula, eV/f.u.: 0.423
Energy relative to the elements, meV per atom: -8.6

abc: 3.8776 3.8776 3.8542
angles: 90.00 90.00 90.00
With the nearest neighbours (Å) after each atom.
Fractional coordinates of all 4 atoms:
Re: 0.0000 0.0000 0.0000  8 Os 2.73, 4 Ir 2.74
Ir: 0.5000 0.5000 0.0000  8 Os 2.73, 4 Re 2.74
Os: 0.0000 0.5000 0.5000  4 Ir 2.73, 4 Re 2.73, 4 Os 2.74
Os: 0.5000 0.0000 0.5000  4 Ir 2.73, 4 Re 2.73, 4 Os 2.74